The following is a DFT calculation (PBE) of an optimized crystal structure of LiLa2AlCu6.

abc: 6.254 6.255 6.365
angles: 60.79 89.78 60.08
Space group P-1 (No. 2)
One atom of each set of equivalent atoms:
Li (0.000, 0.000, 0.000)
La (0.196, 0.607, 0.593)
Al (0.500, 0.000, 0.500)
Cu (0.163, 0.212, 0.114)
Cu (0.325, 0.511, 0.115)
Cu (0.376, 0.948, 0.888)

Summary:
Fermi-level density of states: 5.487 states/eV per cell
Energy relative to the elements: -1.08 eV/f.u.
DFT total energy: -4.117 eV/atom